The following is a PBE+U calculation of a geometry-optimized NaTcNiO4 structure, from Alexandria.

Cell: 5.5961 6.0899 6.8283 Å, 90.00 113.99 90.00°
Last column: nearest neighbours and their distance in Å.
Space group P2_1/m (No. 11)
Asymmetric unit:
Na1 0.1538 0.2500 0.1246 x2  4 O 2.24-2.38
Tc1 0.3167 0.2500 0.6923 x2  4 O 1.79-1.91
Ni1 0.2590 0.7500 0.5334 x2  4 O 1.96-2.04
O1 0.0193 0.2500 0.7627 x2  1 Tc 1.91, 1 Ni 1.99
O2 0.0594 0.2500 0.4130 x2  1 Tc 1.87, 1 Ni 1.96
O3 0.4784 0.5111 0.7370 x4  1 Tc 1.79

Calculated values
- DOS at the Fermi energy (states/eV/cell) = 3.400
- total energy (eV per atom) = -6.0210
- calculated density (Mg/m³) = 3.81